Arrangement 1

A plane-wave DFT calculation with SCAN was carried out for BeTl2Rh at its PBEsol-relaxed geometry.

Unit cell a=3.317 b=4.235 c=5.125 alpha=90.00 beta=90.00 gamma=90.00
Space group Pmmm (No. 47)
Symmetry-distinct sites (fractional):
Be (0.000, 0.000, 0.000) (multiplicity 1)
Tl (0.000, 0.500, 0.500) (multiplicity 1)
Tl (0.500, 0.500, 0.000) (multiplicity 1)
Rh (0.500, 0.000, 0.500) (multiplicity 1)

Calculated values
Total magnetization: 0.00 μB per formula unit
D(E_F): 1.54 states/eV/cell
Calculated density: 12.01 g/cm³

***

Arrangement 2

A plane-wave DFT calculation with SCAN was carried out for BeTl2Rh at its PBEsol-relaxed geometry.

Unit cell a=6.597 b=6.597 c=6.597 alpha=90.00 beta=90.00 gamma=90.00
Space group F-43m (No. 216)
Symmetry-distinct sites (fractional):
Be (0.000, 0.000, 0.000) (multiplicity 4)
Tl (0.000, 0.000, 0.500) (multiplicity 4)
Tl (0.250, 0.250, 0.250) (multiplicity 4)
Rh (0.250, 0.250, 0.750) (multiplicity 4)

Calculated values
Total magnetization: 0.00 μB per formula unit
D(E_F): 5.13 states/eV/cell
Calculated density: 12.05 g/cm³

***

Least stable = arrangement 2

***

Arrangement 1

A plane-wave DFT calculation with SCAN was carried out for YBe2Rh at its PBEsol-relaxed geometry.

Unit cell a=3.8327 b=3.8327 c=14.3348 alpha=90.00 beta=90.00 gamma=120.00
Space group R-3m (No. 166, hexagonal axes)
Symmetry-distinct sites (fractional):
Y (0.0000, 0.0000, 0.0000) (multiplicity 3)
Be (0.0000, 0.0000, 0.1963) (multiplicity 6)
Rh (0.0000, 0.0000, 0.5000) (multiplicity 3)

Calculated values
Total magnetization: 0.00 μB per formula unit
D(E_F): 7.30 states/eV/cell
Calculated density: 5.73 g/cm³

***

Arrangement 2

A plane-wave DFT calculation with SCAN was carried out for YBe2Rh at its PBEsol-relaxed geometry.

Unit cell a=6.181 b=6.181 c=6.181 alpha=90.00 beta=90.00 gamma=90.00
Space group F-43m (No. 216)
Symmetry-distinct sites (fractional):
Y (0.000, 0.000, 0.000) (multiplicity 4)
Be (0.000, 0.000, 0.500) (multiplicity 4)
Be (0.250, 0.250, 0.250) (multiplicity 4)
Rh (0.250, 0.250, 0.750) (multiplicity 4)

Calculated values
Total magnetization: 0.00 μB per formula unit
D(E_F): 10.55 states/eV/cell
Calculated density: 5.90 g/cm³

***

Least stable = arrangement 2

***

Arrangement 1

A plane-wave DFT calculation with SCAN was carried out for ZrBe2Rh at its PBEsol-relaxed geometry.

Unit cell a=3.7173 b=3.7173 c=13.4951 alpha=90.00 beta=90.00 gamma=120.00
Space group R3m (No. 160, hexagonal axes)
Symmetry-distinct sites (fractional):
Zr (0.0000, 0.0000, 0.0000) (multiplicity 3)
Be (0.0000, 0.0000, 0.2024) (multiplicity 3)
Be (0.0000, 0.0000, 0.5213) (multiplicity 3)
Rh (0.0000, 0.0000, 0.7895) (multiplicity 3)

Calculated values
Total magnetization: 0.00 μB per formula unit
D(E_F): 7.58 states/eV/cell
Calculated density: 6.54 g/cm³

***

Arrangement 2

A plane-wave DFT calculation with SCAN was carried out for ZrBe2Rh at its PBEsol-relaxed geometry.

Unit cell a=5.985 b=5.985 c=5.985 alpha=90.00 beta=90.00 gamma=90.00
Space group F-43m (No. 216)
Symmetry-distinct sites (fractional):
Zr (0.000, 0.000, 0.000) (multiplicity 4)
Be (0.000, 0.000, 0.500) (multiplicity 4)
Be (0.250, 0.250, 0.250) (multiplicity 4)
Rh (0.250, 0.250, 0.750) (multiplicity 4)

Calculated values
Total magnetization: 0.00 μB per formula unit
D(E_F): 13.38 states/eV/cell
Calculated density: 6.57 g/cm³

***

Arrangement 3

A plane-wave DFT calculation with SCAN was carried out for ZrBe2Rh at its PBEsol-relaxed geometry.

Unit cell a=3.7427 b=3.7427 c=13.2227 alpha=90.00 beta=90.00 gamma=120.00
Space group R-3m (No. 166, hexagonal axes)
Symmetry-distinct sites (fractional):
Zr (0.0000, 0.0000, 0.0000) (multiplicity 3)
Be (0.0000, 0.0000, 0.2070) (multiplicity 6)
Rh (0.0000, 0.0000, 0.5000) (multiplicity 3)

Calculated values
Total magnetization: 0.00 μB per formula unit
D(E_F): 5.10 states/eV/cell
Calculated density: 6.59 g/cm³

***

Least stable = arrangement 2

***

Arrangement 1

A plane-wave DFT calculation with SCAN was carried out for BeRu3 at its PBEsol-relaxed geometry.

Unit cell a=2.733 b=2.733 c=6.369 alpha=90.00 beta=90.00 gamma=90.00
Space group P4/mmm (No. 123)
Symmetry-distinct sites (fractional):
Be (0.000, 0.000, 0.000) (multiplicity 1)
Ru (0.000, 0.000, 0.500) (multiplicity 1)
Ru (0.500, 0.500, 0.218) (multiplicity 2)

Calculated values
Total magnetization: 0.00 μB per formula unit
D(E_F): 2.93 states/eV/cell
Calculated density: 10.90 g/cm³

***

Arrangement 2

A plane-wave DFT calculation with SCAN was carried out for BeRu3 at its PBEsol-relaxed geometry.

Unit cell a=2.689 b=4.100 c=4.515 alpha=90.00 beta=90.00 gamma=90.00
Space group Pmm2 (No. 25)
Symmetry-distinct sites (fractional):
Be (0.000, 0.000, 0.000) (multiplicity 1)
Ru (0.000, 0.500, 0.316) (multiplicity 1)
Ru (0.500, 0.000, 0.531) (multiplicity 1)
Ru (0.500, 0.500, 0.844) (multiplicity 1)

Calculated values
Total magnetization: 0.00 μB per formula unit
D(E_F): 3.05 states/eV/cell
Calculated density: 10.42 g/cm³

***

Least stable = arrangement 2

***

Arrangement 1

A plane-wave DFT calculation with SCAN was carried out for BeRu3 at its PBEsol-relaxed geometry.

Unit cell a=2.656 b=3.817 c=4.975 alpha=90.00 beta=102.97 gamma=90.00
Space group P2/m (No. 10)
Symmetry-distinct sites (fractional):
Be (0.000, 0.000, 0.000) (multiplicity 1)
Ru (0.000, 0.000, 0.500) (multiplicity 1)
Ru (0.384, 0.500, 0.232) (multiplicity 2)

Calculated values
Total magnetization: 0.00 μB per formula unit
D(E_F): 2.89 states/eV/cell
Calculated density: 10.55 g/cm³

***

Arrangement 2

A plane-wave DFT calculation with SCAN was carried out for BeRu3 at its PBEsol-relaxed geometry.

Unit cell a=2.6551 b=2.6551 c=24.2012 alpha=90.00 beta=90.00 gamma=120.00
Space group R-3m (No. 166, hexagonal axes)
Symmetry-distinct sites (fractional):
Be (0.0000, 0.0000, 0.0000) (multiplicity 3)
Ru (0.0000, 0.0000, 0.2550) (multiplicity 6)
Ru (0.0000, 0.0000, 0.5000) (multiplicity 3)

Calculated values
Total magnetization: 0.00 μB per formula unit
D(E_F): 8.64 states/eV/cell
Calculated density: 10.53 g/cm³

***

Least stable = arrangement 2

***

Arrangement 1

A plane-wave DFT calculation with SCAN was carried out for BeSbRu2 at its PBEsol-relaxed geometry.

Unit cell a=6.007 b=6.007 c=6.007 alpha=90.00 beta=90.00 gamma=90.00
Space group Fm-3m (No. 225)
Symmetry-distinct sites (fractional):
Be (0.000, 0.000, 0.000) (multiplicity 4)
Sb (0.000, 0.000, 0.500) (multiplicity 4)
Ru (0.250, 0.250, 0.250) (multiplicity 8)

Calculated values
Total magnetization: 0.00 μB per formula unit
D(E_F): 7.07 states/eV/cell
Calculated density: 10.20 g/cm³

***

Arrangement 2

A plane-wave DFT calculation with SCAN was carried out for BeSbRu2 at its PBEsol-relaxed geometry.

Unit cell a=2.986 b=4.309 c=4.428 alpha=90.00 beta=90.00 gamma=90.00
Space group Pmm2 (No. 25)
Symmetry-distinct sites (fractional):
Be (0.000, 0.000, 0.000) (multiplicity 1)
Sb (0.500, 0.500, 0.770) (multiplicity 1)
Ru (0.000, 0.500, 0.245) (multiplicity 1)
Ru (0.500, 0.000, 0.438) (multiplicity 1)

Calculated values
Total magnetization: 0.00 μB per formula unit
D(E_F): 2.82 states/eV/cell
Calculated density: 9.70 g/cm³

***

Least stable = arrangement 2

***

Arrangement 1

A plane-wave DFT calculation with SCAN was carried out for BeSbRu at its PBEsol-relaxed geometry.

Unit cell a=3.0371 b=3.0371 c=5.8285 alpha=90.00 beta=90.00 gamma=120.00
Space group P3m1 (No. 156)
Symmetry-distinct sites (fractional):
Be (0.0000, 0.0000, 0.0000) (multiplicity 1)
Sb (0.6667, 0.3333, 0.3854) (multiplicity 1)
Ru (0.3333, 0.6667, 0.7323) (multiplicity 1)

Calculated values
Total magnetization: 0.00 μB per formula unit
D(E_F): 1.20 states/eV/cell
Calculated density: 8.27 g/cm³

***

Arrangement 2

A plane-wave DFT calculation with SCAN was carried out for BeSbRu at its PBEsol-relaxed geometry.

Unit cell a=5.861 b=5.861 c=5.861 alpha=90.00 beta=90.00 gamma=90.00
Space group F-43m (No. 216)
Symmetry-distinct sites (fractional):
Be (0.000, 0.000, 0.000) (multiplicity 4)
Sb (0.000, 0.000, 0.500) (multiplicity 4)
Ru (0.250, 0.250, 0.250) (multiplicity 4)

Calculated values
Total magnetization: 0.00 μB per formula unit
D(E_F): 6.22 states/eV/cell
Calculated density: 7.65 g/cm³

***

Least stable = arrangement 1

***

Arrangement 1

A plane-wave DFT calculation with SCAN was carried out for ScBe2Ru at its PBEsol-relaxed geometry.

Unit cell a=3.761 b=3.761 c=6.933 alpha=90.00 beta=90.00 gamma=90.00
Space group I4/mmm (No. 139)
Symmetry-distinct sites (fractional):
Sc (0.000, 0.000, 0.000) (multiplicity 2)
Be (0.000, 0.500, 0.250) (multiplicity 4)
Ru (0.000, 0.000, 0.500) (multiplicity 2)

Calculated values
Total magnetization: 0.00 μB per formula unit
D(E_F): 2.54 states/eV/cell
Calculated density: 5.56 g/cm³

***

Arrangement 2

A plane-wave DFT calculation with SCAN was carried out for ScBe2Ru at its PBEsol-relaxed geometry.

Unit cell a=3.010 b=3.010 c=5.490 alpha=90.00 beta=90.00 gamma=90.00
Space group P4/mmm (No. 123)
Symmetry-distinct sites (fractional):
Sc (0.000, 0.000, 0.000) (multiplicity 1)
Be (0.500, 0.500, 0.309) (multiplicity 2)
Ru (0.000, 0.000, 0.500) (multiplicity 1)

Calculated values
Total magnetization: 0.01 μB per formula unit
D(E_F): 1.42 states/eV/cell
Calculated density: 5.48 g/cm³

***

Least stable = arrangement 1

***

Arrangement 1

A plane-wave DFT calculation with SCAN was carried out for BeRu2Se at its PBEsol-relaxed geometry.

Unit cell a=2.8983 b=2.8983 c=21.2007 alpha=90.00 beta=90.00 gamma=120.00
Space group R-3m (No. 166, hexagonal axes)
Symmetry-distinct sites (fractional):
Be (0.0000, 0.0000, 0.0000) (multiplicity 3)
Ru (0.0000, 0.0000, 0.2570) (multiplicity 6)
Se (0.0000, 0.0000, 0.5000) (multiplicity 3)

Calculated values
Total magnetization: 0.00 μB per formula unit
D(E_F): 7.84 states/eV/cell
Calculated density: 9.37 g/cm³

***

Arrangement 2

A plane-wave DFT calculation with SCAN was carried out for BeRu2Se at its PBEsol-relaxed geometry.

Unit cell a=2.848 b=4.665 c=8.232 alpha=90.00 beta=90.00 gamma=90.00
Space group Cmm2 (No. 35)
Symmetry-distinct sites (fractional):
Be (0.000, 0.000, 0.000) (multiplicity 2)
Ru (0.000, 0.000, 0.526) (multiplicity 2)
Ru (0.000, 0.500, 0.789) (multiplicity 2)
Se (0.000, 0.500, 0.267) (multiplicity 2)

Calculated values
Total magnetization: 1.41 μB per formula unit
D(E_F): 5.96 states/eV/cell
Calculated density: 8.81 g/cm³

***

Arrangement 3

A plane-wave DFT calculation with SCAN was carried out for BeRu2Se at its PBEsol-relaxed geometry.

Unit cell a=3.489 b=3.489 c=8.444 alpha=90.00 beta=90.00 gamma=90.00
Space group I-4m2 (No. 119)
Symmetry-distinct sites (fractional):
Be (0.000, 0.000, 0.000) (multiplicity 2)
Ru (0.000, 0.000, 0.500) (multiplicity 2)
Ru (0.000, 0.500, 0.250) (multiplicity 2)
Se (0.000, 0.500, 0.750) (multiplicity 2)

Calculated values
Total magnetization: 0.00 μB per formula unit
D(E_F): 8.16 states/eV/cell
Calculated density: 9.38 g/cm³

***

Least stable = arrangement 2

***

Arrangement 1

A plane-wave DFT calculation with SCAN was carried out for BeRu2Se at its PBEsol-relaxed geometry.

Unit cell a=2.839 b=3.871 c=5.241 alpha=90.00 beta=105.30 gamma=90.00
Space group P2/m (No. 10)
Symmetry-distinct sites (fractional):
Be (0.000, 0.000, 0.000) (multiplicity 1)
Ru (0.166, 0.500, 0.788) (multiplicity 2)
Se (0.000, 0.000, 0.500) (multiplicity 1)

Calculated values
Total magnetization: 0.00 μB per formula unit
D(E_F): 2.85 states/eV/cell
Calculated density: 8.67 g/cm³

***

Arrangement 2

A plane-wave DFT calculation with SCAN was carried out for BeRu2Se at its PBEsol-relaxed geometry.

Unit cell a=7.728 b=2.863 c=4.752 alpha=90.00 beta=102.10 gamma=90.00
Space group C2/m (No. 12)
Symmetry-distinct sites (fractional):
Be (0.000, 0.000, 0.000) (multiplicity 2)
Ru (0.243, 0.500, 0.236) (multiplicity 4)
Se (0.000, 0.500, 0.500) (multiplicity 2)

Calculated values
Total magnetization: 0.00 μB per formula unit
D(E_F): 5.74 states/eV/cell
Calculated density: 9.37 g/cm³

***

Arrangement 3

A plane-wave DFT calculation with SCAN was carried out for BeRu2Se at its PBEsol-relaxed geometry.

Unit cell a=5.964 b=5.964 c=5.964 alpha=90.00 beta=90.00 gamma=90.00
Space group F-43m (No. 216)
Symmetry-distinct sites (fractional):
Be (0.000, 0.000, 0.000) (multiplicity 4)
Ru (0.000, 0.000, 0.500) (multiplicity 4)
Ru (0.250, 0.250, 0.750) (multiplicity 4)
Se (0.250, 0.250, 0.250) (multiplicity 4)

Calculated values
Total magnetization: 0.00 μB per formula unit
D(E_F): 15.61 states/eV/cell
Calculated density: 9.08 g/cm³

***

Least stable = arrangement 3

***

Arrangement 1

A plane-wave DFT calculation with SCAN was carried out for BeTcRu at its PBEsol-relaxed geometry.

Unit cell a=5.566 b=5.566 c=5.566 alpha=90.00 beta=90.00 gamma=90.00
Space group F-43m (No. 216)
Symmetry-distinct sites (fractional):
Be (0.000, 0.000, 0.000) (multiplicity 4)
Tc (0.250, 0.250, 0.250) (multiplicity 4)
Ru (0.000, 0.000, 0.500) (multiplicity 4)

Calculated values
Total magnetization: 0.00 μB per formula unit
D(E_F): 9.52 states/eV/cell
Calculated density: 8.01 g/cm³

***

Arrangement 2

A plane-wave DFT calculation with SCAN was carried out for BeTcRu at its PBEsol-relaxed geometry.

Unit cell a=2.799 b=2.799 c=8.930 alpha=90.00 beta=90.00 gamma=90.00
Space group I4mm (No. 107)
Symmetry-distinct sites (fractional):
Be (0.000, 0.000, 0.000) (multiplicity 2)
Tc (0.000, 0.000, 0.334) (multiplicity 2)
Ru (0.000, 0.000, 0.651) (multiplicity 2)

Calculated values
Total magnetization: 0.00 μB per formula unit
D(E_F): 2.22 states/eV/cell
Calculated density: 9.88 g/cm³

***

Least stable = arrangement 1

***

Arrangement 1

A plane-wave DFT calculation with SCAN was carried out for Be2TcRu at its PBEsol-relaxed geometry.

Unit cell a=2.752 b=2.752 c=5.642 alpha=90.00 beta=90.00 gamma=90.00
Space group P4/mmm (No. 123)
Symmetry-distinct sites (fractional):
Be (0.000, 0.000, 0.232) (multiplicity 2)
Tc (0.500, 0.500, 0.500) (multiplicity 1)
Ru (0.500, 0.500, 0.000) (multiplicity 1)

Calculated values
Total magnetization: 0.41 μB per formula unit
D(E_F): 3.59 states/eV/cell
Calculated density: 8.44 g/cm³

***

Arrangement 2

A plane-wave DFT calculation with SCAN was carried out for Be2TcRu at its PBEsol-relaxed geometry.

Unit cell a=3.619 b=2.756 c=8.492 alpha=90.00 beta=90.00 gamma=90.00
Space group Amm2 (No. 38)
Symmetry-distinct sites (fractional):
Be (0.000, 0.000, 0.000) (multiplicity 2)
Be (0.500, 0.000, 0.136) (multiplicity 2)
Tc (0.500, 0.000, 0.408) (multiplicity 2)
Ru (0.000, 0.000, 0.724) (multiplicity 2)

Calculated values
Total magnetization: 0.01 μB per formula unit
D(E_F): 4.04 states/eV/cell
Calculated density: 8.51 g/cm³

***

Least stable = arrangement 1